The following is a PBE-GGA calculation of a geometry-optimized LaPr2Nd6Dy structure, from the Alexandria database.

Results
energy of formation from the pure elements = 1.1 eV per formula unit
total magnetization = 0.000 μB/atom
DFT total energy = -4.66 eV per atom
space group = C2/c

POSCAR file:
```
LaPr2Nd6Dy
1.0
9.471 -2.162 -2.244
0.817 8.757 -2.068
0.817 -2.391 8.674
La Nd Pr Dy
2 12 4 2
direct
0.250 0.981 0.019
0.750 0.019 0.981
0.555 0.744 0.120
0.119 0.703 0.494
0.381 0.506 0.297
0.687 0.015 0.569
0.881 0.297 0.506
0.445 0.256 0.880
0.187 0.569 0.015
0.813 0.431 0.985
0.945 0.880 0.256
0.055 0.120 0.744
0.313 0.985 0.431
0.619 0.494 0.703
0.956 0.705 0.805
0.544 0.195 0.295
0.456 0.805 0.705
0.044 0.295 0.195
0.250 0.408 0.592
0.750 0.592 0.408
```

The following is a PBE-GGA calculation of a geometry-optimized LaPrNd2Dy structure, from the Alexandria database.

Results
energy of formation from the pure elements = 1.3 eV per formula unit
total magnetization = 0.000 μB/atom
DFT total energy = -4.51 eV per atom
space group = P2/c

POSCAR file:
```
LaPrNd2Dy
1.0
6.544 0.000 0.000
0.000 8.969 0.374
0.000 -2.034 6.176
Dy La Pr Nd
2 2 2 4
direct
0.528 0.000 0.250
0.472 0.000 0.750
0.000 0.000 0.000
0.000 0.000 0.500
0.161 0.500 0.750
0.839 0.500 0.250
0.323 0.316 0.167
0.677 0.316 0.667
0.677 0.684 0.833
0.323 0.684 0.333
```

The following is a PBE-GGA calculation of a geometry-optimized LaPr2NdDy structure, from the Alexandria database.

Results
energy of formation from the pure elements = 1.3 eV per formula unit
total magnetization = 0.000 μB/atom
DFT total energy = -4.52 eV per atom
space group = P2/c

POSCAR file:
```
LaPr2NdDy
1.0
6.647 0.000 0.000
0.000 8.506 1.098
0.000 -1.363 6.243
Dy Pr La Nd
2 4 2 2
direct
0.835 0.500 0.250
0.165 0.500 0.750
0.690 0.688 0.779
0.310 0.688 0.279
0.310 0.312 0.221
0.690 0.312 0.721
0.000 0.000 0.000
0.000 0.000 0.500
0.565 0.000 0.250
0.435 0.000 0.750
```

The following is a PBE-GGA calculation of a geometry-optimized La2Pr6NdDy structure, from the Alexandria database.

Results
energy of formation from the pure elements = 1.1 eV per formula unit
total magnetization = 0.000 μB/atom
DFT total energy = -4.68 eV per atom
space group = C2/c

POSCAR file:
```
La2Pr6NdDy
1.0
9.682 -2.247 -2.332
0.677 8.741 -2.030
0.677 -2.352 8.660
Pr Nd Dy La
12 2 2 4
direct
0.811 0.423 0.984
0.311 0.984 0.423
0.380 0.504 0.300
0.620 0.496 0.700
0.189 0.577 0.016
0.689 0.016 0.577
0.120 0.700 0.496
0.445 0.260 0.881
0.555 0.740 0.119
0.945 0.881 0.260
0.880 0.300 0.504
0.055 0.119 0.740
0.750 0.012 0.988
0.250 0.988 0.012
0.250 0.405 0.595
0.750 0.595 0.405
0.042 0.288 0.193
0.458 0.807 0.712
0.958 0.712 0.807
0.542 0.193 0.288
```

The following is a PBE-GGA calculation of a geometry-optimized LaPrNdDy3 structure, from the Alexandria database.

Results
energy of formation from the pure elements = 1.1 eV per formula unit
total magnetization = 0.000 μB/atom
DFT total energy = -4.54 eV per atom
space group = C2/m

POSCAR file:
```
LaPrNdDy3
1.0
5.686 0.000 0.000
-2.843 9.965 1.670
0.000 -1.194 7.015
Pr Dy Nd La
2 6 2 2
direct
0.352 0.705 0.534
0.648 0.295 0.466
0.163 0.327 0.747
0.523 0.047 0.749
0.221 0.442 0.249
0.477 0.953 0.251
0.779 0.558 0.751
0.837 0.673 0.253
0.055 0.109 0.255
0.945 0.891 0.745
0.353 0.706 0.959
0.647 0.294 0.041
```

The following is a PBE-GGA calculation of a geometry-optimized La2PrNd6Dy3 structure, from the Alexandria database.

Results
energy of formation from the pure elements = 0.2 eV per formula unit
total magnetization = 0.000 μB/atom
DFT total energy = -4.74 eV per atom
space group = C2/m

POSCAR file:
```
La2PrNd6Dy3
1.0
-5.548 -2.906 1.071
3.995 1.103 4.816
-4.664 11.190 -0.095
Dy Nd La Pr
3 6 2 1
direct
0.500 0.500 0.500
0.166 0.834 0.500
0.834 0.166 0.500
0.419 0.086 0.256
0.086 0.419 0.256
0.914 0.581 0.744
0.248 0.248 0.744
0.581 0.914 0.744
0.752 0.752 0.256
0.333 0.667 0.000
0.667 0.333 0.000
0.000 0.000 0.000
```

The following is a PBE-GGA calculation of a geometry-optimized La6PrNd2Dy structure, from the Alexandria database.

Results
energy of formation from the pure elements = 1.7 eV per formula unit
total magnetization = 0.000 μB/atom
DFT total energy = -4.67 eV per atom
space group = C2/m

POSCAR file:
```
La6PrNd2Dy
1.0
9.169 0.000 1.115
0.000 7.107 0.000
-2.391 -3.553 5.287
La Nd Dy Pr
6 2 1 1
direct
0.797 0.959 0.385
0.421 0.627 0.253
0.579 0.373 0.747
0.797 0.426 0.385
0.203 0.041 0.615
0.203 0.574 0.615
0.826 0.922 0.844
0.174 0.078 0.156
0.500 0.000 0.000
0.000 0.500 0.000
```

The following is a PBE-GGA calculation of a geometry-optimized La3Pr6NdDy2 structure, from the Alexandria database.

Results
energy of formation from the pure elements = 0.2 eV per formula unit
total magnetization = 0.000 μB/atom
DFT total energy = -4.77 eV per atom
space group = C2/m

POSCAR file:
```
La3Pr6NdDy2
1.0
6.402 -0.003 0.008
-3.202 5.543 0.008
-1.090 -1.888 12.041
Pr Dy La Nd
6 2 3 1
direct
0.416 0.082 0.245
0.918 0.584 0.755
0.748 0.748 0.245
0.584 0.918 0.755
0.082 0.416 0.245
0.252 0.252 0.755
0.667 0.333 0.000
0.333 0.667 0.000
0.500 0.500 0.500
0.167 0.833 0.500
0.833 0.167 0.500
0.000 0.000 0.000
```